# InGeIr3

An optimized crystal structure of InGeIr3 (PBE, Alexandria).

Calculated values
D(E_F) ... 6.7 states/eV/f.u.
Energy above the lowest structure with this stoichiometry ... 1202.2 meV/atom
Total magnetization ... 1.39 μB/f.u.

Cell: 4.883 4.883 4.883 Å, 90.00 90.00 90.00°
Positions (direct):
In: 0.000 0.000 0.000
Ge: 0.500 0.500 0.500
Ir: 0.000 0.000 0.500
Ir: 0.000 0.500 0.000
Ir: 0.500 0.000 0.000

---

# InGeIr2

An optimized crystal structure of InGeIr2 (PBE, Alexandria).

Calculated values
D(E_F) ... 1.6 states/eV/f.u.
Energy above the lowest structure with this stoichiometry ... 145.7 meV/atom
Total magnetization ... 0.00 μB/f.u.

Cell: 4.215 4.215 13.483 Å, 90.00 90.00 120.00°
Positions (direct):
In: 0.000 0.000 0.000
In: 0.333 0.667 0.667
In: 0.667 0.333 0.333
Ge: 0.000 0.000 0.500
Ge: 0.333 0.667 0.167
Ge: 0.667 0.333 0.833
Ir: 0.000 0.000 0.222
Ir: 0.000 0.000 0.778
Ir: 0.333 0.667 0.445
Ir: 0.333 0.667 0.888
Ir: 0.667 0.333 0.112
Ir: 0.667 0.333 0.555

---

# InGeIr

An optimized crystal structure of InGeIr (PBE, Alexandria).

Calculated values
D(E_F) ... 1.7 states/eV/f.u.
Total DFT energy (no corrections) ... -5.519 eV per atom
Total magnetization ... 0.00 μB/f.u.

Cell: 6.224 6.224 6.224 Å, 90.00 90.00 90.00°
Positions (direct):
In: 0.000 0.000 0.000
In: 0.000 0.500 0.500
In: 0.500 0.000 0.500
In: 0.500 0.500 0.000
Ge: 0.000 0.000 0.500
Ge: 0.000 0.500 0.000
Ge: 0.500 0.000 0.000
Ge: 0.500 0.500 0.500
Ir: 0.250 0.250 0.250
Ir: 0.250 0.750 0.750
Ir: 0.750 0.250 0.750
Ir: 0.750 0.750 0.250

---

# InGeIr2

An optimized crystal structure of InGeIr2 (PBE, Alexandria).

Calculated values
D(E_F) ... 4.3 states/eV/f.u.
Energy above the lowest structure with this stoichiometry ... 186.4 meV/atom
Total magnetization ... 0.60 μB/f.u.

Cell: 6.387 6.387 6.387 Å, 90.00 90.00 90.00°
Positions (direct):
In: 0.000 0.000 0.000
In: 0.000 0.500 0.500
In: 0.500 0.000 0.500
In: 0.500 0.500 0.000
Ge: 0.000 0.000 0.500
Ge: 0.000 0.500 0.000
Ge: 0.500 0.000 0.000
Ge: 0.500 0.500 0.500
Ir: 0.250 0.250 0.250
Ir: 0.250 0.250 0.750
Ir: 0.250 0.750 0.250
Ir: 0.250 0.750 0.750
Ir: 0.750 0.250 0.250
Ir: 0.750 0.250 0.750
Ir: 0.750 0.750 0.250
Ir: 0.750 0.750 0.750

---

# InGe5Ir2

An optimized crystal structure of InGe5Ir2 (PBE, Alexandria).

Calculated values
D(E_F) ... 3.4 states/eV/f.u.
Total DFT energy (no corrections) ... -5.424 eV per atom
Total magnetization ... 0.00 μB/f.u.

Cell: 3.095 7.474 13.228 Å, 90.00 90.00 90.00°
Positions (direct):
In: 0.000 0.000 0.000
In: 0.500 0.500 0.500
Ge: 0.000 0.277 0.341
Ge: 0.000 0.277 0.659
Ge: 0.000 0.500 0.000
Ge: 0.000 0.723 0.341
Ge: 0.000 0.723 0.659
Ge: 0.500 0.000 0.500
Ge: 0.500 0.223 0.159
Ge: 0.500 0.223 0.841
Ge: 0.500 0.777 0.159
Ge: 0.500 0.777 0.841
Ir: 0.000 0.500 0.188
Ir: 0.000 0.500 0.812
Ir: 0.500 0.000 0.312
Ir: 0.500 0.000 0.688

---

# InGeIr

An optimized crystal structure of InGeIr (PBE, Alexandria).

Calculated values
D(E_F) ... 1.5 states/eV/f.u.
Total DFT energy (no corrections) ... -5.382 eV per atom
Total magnetization ... 0.00 μB/f.u.

Cell: 4.557 5.832 9.106 Å, 90.00 90.00 90.00°
Positions (direct):
In: 0.000 0.000 0.000
In: 0.000 0.500 0.500
In: 0.500 0.000 0.305
In: 0.500 0.500 0.805
Ge: 0.000 0.000 0.499
Ge: 0.000 0.500 0.999
Ge: 0.500 0.000 0.681
Ge: 0.500 0.500 0.181
Ir: 0.000 0.243 0.747
Ir: 0.000 0.257 0.247
Ir: 0.000 0.743 0.247
Ir: 0.000 0.757 0.747

---

# KIn2GeIr2

An optimized crystal structure of KIn2GeIr2 (PBE, Alexandria).

Calculated values
D(E_F) ... 5.5 states/eV/f.u.
Total DFT energy (no corrections) ... -4.824 eV per atom
Total magnetization ... 0.63 μB/f.u.

Cell: 4.748 4.748 6.316 Å, 90.00 90.00 90.00°
Positions (direct):
K: 0.000 0.000 0.000
In: 0.500 0.500 0.242
In: 0.500 0.500 0.758
Ge: 0.000 0.000 0.500
Ir: 0.000 0.500 0.500
Ir: 0.500 0.000 0.500

---

# KIn2GeIr

An optimized crystal structure of KIn2GeIr (PBE, Alexandria).

Calculated values
D(E_F) ... 4.9 states/eV/f.u.
Total DFT energy (no corrections) ... -4.027 eV per atom
Total magnetization ... 0.00 μB/f.u.

Cell: 5.280 5.280 4.871 Å, 90.00 90.00 90.00°
Positions (direct):
K: 0.000 0.000 0.000
In: 0.000 0.500 0.500
In: 0.500 0.000 0.500
Ge: 0.500 0.500 0.000
Ir: 0.500 0.500 0.500

---

# La2InGe3Ir4

An optimized crystal structure of La2InGe3Ir4 (PBE, Alexandria).

Calculated values
D(E_F) ... 7.1 states/eV/f.u.
Total DFT energy (no corrections) ... -6.890 eV per atom
Total magnetization ... 0.00 μB/f.u.

Cell: 4.295 4.295 10.722 Å, 90.00 90.00 90.00°
Positions (direct):
La: 0.000 0.500 0.246
La: 0.500 0.000 0.754
In: 0.000 0.000 0.500
Ge: 0.000 0.500 0.876
Ge: 0.500 0.000 0.124
Ge: 0.500 0.500 0.500
Ir: 0.000 0.000 0.000
Ir: 0.000 0.500 0.646
Ir: 0.500 0.000 0.354
Ir: 0.500 0.500 0.000

---

# LiInGeIr

An optimized crystal structure of LiInGeIr (PBE, Alexandria).

Calculated values
D(E_F) ... 2.3 states/eV/f.u.
Total DFT energy (no corrections) ... -4.789 eV per atom
Total magnetization ... 0.00 μB/f.u.

Cell: 6.372 6.372 6.372 Å, 90.00 90.00 90.00°
Positions (direct):
Li: 0.000 0.000 0.000
Li: 0.000 0.500 0.500
Li: 0.500 0.000 0.500
Li: 0.500 0.500 0.000
In: 0.250 0.250 0.750
In: 0.250 0.750 0.250
In: 0.750 0.250 0.250
In: 0.750 0.750 0.750
Ge: 0.250 0.250 0.250
Ge: 0.250 0.750 0.750
Ge: 0.750 0.250 0.750
Ge: 0.750 0.750 0.250
Ir: 0.000 0.000 0.500
Ir: 0.000 0.500 0.000
Ir: 0.500 0.000 0.000
Ir: 0.500 0.500 0.500

---

# Mg2InGe2Ir5

An optimized crystal structure of Mg2InGe2Ir5 (PBE, Alexandria).

Calculated values
D(E_F) ... 5.0 states/eV/f.u.
Total DFT energy (no corrections) ... -6.186 eV per atom
Total magnetization ... 0.00 μB/f.u.

Cell: 9.547 9.547 3.620 Å, 90.00 90.00 90.00°
Positions (direct):
Mg: 0.172 0.328 0.000
Mg: 0.328 0.828 0.000
Mg: 0.672 0.172 0.000
Mg: 0.828 0.672 0.000
In: 0.000 0.000 0.000
In: 0.500 0.500 0.000
Ge: 0.128 0.628 0.000
Ge: 0.372 0.128 0.000
Ge: 0.628 0.872 0.000
Ge: 0.872 0.372 0.000
Ir: 0.000 0.500 0.500
Ir: 0.072 0.794 0.500
Ir: 0.206 0.072 0.500
Ir: 0.294 0.572 0.500
Ir: 0.428 0.294 0.500
Ir: 0.500 0.000 0.500
Ir: 0.572 0.706 0.500
Ir: 0.706 0.428 0.500
Ir: 0.794 0.928 0.500
Ir: 0.928 0.206 0.500

---

# MgIn2Ge2Ir5

An optimized crystal structure of MgIn2Ge2Ir5 (PBE, Alexandria).

Calculated values
D(E_F) ... 4.9 states/eV/f.u.
Total DFT energy (no corrections) ... -6.075 eV per atom
Total magnetization ... 0.00 μB/f.u.

Cell: 9.593 9.593 3.622 Å, 90.00 90.00 90.00°
Positions (direct):
Mg: 0.000 0.000 0.000
Mg: 0.500 0.500 0.000
In: 0.171 0.329 0.000
In: 0.329 0.829 0.000
In: 0.671 0.171 0.000
In: 0.829 0.671 0.000
Ge: 0.130 0.630 0.000
Ge: 0.370 0.130 0.000
Ge: 0.630 0.870 0.000
Ge: 0.870 0.370 0.000
Ir: 0.000 0.500 0.500
Ir: 0.086 0.803 0.500
Ir: 0.197 0.086 0.500
Ir: 0.303 0.586 0.500
Ir: 0.414 0.303 0.500
Ir: 0.500 0.000 0.500
Ir: 0.586 0.697 0.500
Ir: 0.697 0.414 0.500
Ir: 0.803 0.914 0.500
Ir: 0.914 0.197 0.500